Here is a geometry-optimized NbBiTe3 structure from Alexandria via LeMat-Bulk. Energies are from PBE.

Cell and atoms, written as POSCAR:
```
NbBiTe3
1.0
5.667 0.000 0.000
-0.001 7.773 0.000
0.001 -3.887 6.733
Nb Te Bi
2 6 2
direct
0.500 0.000 0.000
0.000 0.000 0.000
0.250 0.362 0.181
0.750 0.181 0.819
0.750 0.181 0.361
0.750 0.638 0.819
0.250 0.819 0.639
0.250 0.819 0.181
0.750 0.667 0.333
0.250 0.333 0.667
```

Properties
Density: 7.7 Mg/m³
Formation energy (no corrections): 0.01 eV per atom
Density of states at the Fermi level: 0.88 states/eV per atom
Offset from the most stable computed form: 0 meV/atom
Total moment: 0.0 μB/f.u.

---

Here is a geometry-optimized ScCdTe2 structure from Alexandria via LeMat-Bulk. Energies are from PBE.

Cell and atoms, written as POSCAR:
```
ScCdTe2
1.0
4.525 0.000 0.000
0.000 6.050 0.000
0.000 0.000 3.889
Te Sc Cd
2 1 1
direct
0.500 0.500 0.000
0.000 0.000 0.000
0.000 0.500 0.500
0.500 0.000 0.500
```

Properties
Density: 6.4 Mg/m³
Formation energy (no corrections): -0.47 eV per atom
Density of states at the Fermi level: 0.42 states/eV per atom
Total moment: 0.0 μB/f.u.

---

Here is a geometry-optimized PrSmSbSe structure from Alexandria via LeMat-Bulk. Energies are from PBE.

Cell and atoms, written as POSCAR:
```
PrSmSbSe
1.0
-0.424 -3.835 2.104
4.136 -1.037 -1.057
1.997 2.641 5.215
Sm Pr Sb Se
1 1 1 1
direct
0.000 0.892 0.592
0.500 0.391 0.093
0.000 0.891 0.092
0.500 0.392 0.593
```

Properties
Density: 6.9 Mg/m³
Formation energy (no corrections): -1.49 eV per atom
Density of states at the Fermi level: 0.34 states/eV per atom
Total moment: 0.0 μB/f.u.

---

Here is a geometry-optimized CaHoPS structure from Alexandria via LeMat-Bulk. Energies are from PBE.

Cell and atoms, written as POSCAR:
```
CaHoPS
1.0
4.022 0.000 0.000
2.011 3.483 0.000
2.011 1.161 6.626
P Ho Ca S
1 1 1 1
direct
0.255 0.255 0.236
0.996 0.996 0.011
0.502 0.502 0.494
0.747 0.747 0.760
```

Properties
Density: 4.8 Mg/m³
Formation energy (no corrections): -1.80 eV per atom
Total moment: 0.0 μB/f.u.

---

Here is a geometry-optimized PmDy9Ho2 structure from Alexandria via LeMat-Bulk. Energies are from PBE.

Cell and atoms, written as POSCAR:
```
PmDy9Ho2
1.0
-0.466 -2.798 2.053
9.516 2.397 5.429
-9.732 4.260 3.595
Dy Ho Pm
9 2 1
direct
0.000 0.500 0.500
0.000 0.000 0.500
0.500 0.178 0.355
0.500 0.822 0.645
0.000 0.500 0.000
0.500 0.355 0.178
0.500 0.178 0.822
0.500 0.645 0.822
0.500 0.822 0.178
0.000 0.333 0.667
0.000 0.667 0.333
0.000 0.000 0.000
```

Properties
Density: 8.4 Mg/m³
DFT formation energy: 0.04 eV/atom
Density of states at the Fermi level: 1.35 states/eV per atom
Offset from the most stable computed form: 20 meV/atom
Total moment: 0.0 μB/f.u.

---

Here is a geometry-optimized Zr2V2W structure from Alexandria via LeMat-Bulk. Energies are from PBE.

Cell and atoms, written as POSCAR:
```
Zr2V2W
1.0
-0.963 -2.613 -7.356
-6.488 -3.853 2.218
-1.656 2.419 -0.643
Zr V W
4 4 2
direct
0.704 0.204 0.000
0.796 0.704 0.000
0.296 0.796 0.000
0.204 0.296 0.000
0.595 0.905 0.500
0.405 0.095 0.500
0.905 0.405 0.500
0.095 0.595 0.500
0.500 0.500 0.000
0.000 0.000 0.000
```

Properties
Density: 8.4 Mg/m³
DFT formation energy: 0.68 eV/atom
Density of states at the Fermi level: 1.24 states/eV per atom
Offset from the most stable computed form: 418 meV/atom
Total moment: 0.0 μB/f.u.

---

Here is a geometry-optimized Tc2MoPSe structure from Alexandria via LeMat-Bulk. Energies are from PBE.

Cell and atoms, written as POSCAR:
```
Tc2MoPSe
1.0
4.810 0.000 0.000
0.000 4.526 0.000
0.000 0.000 4.810
Se Tc Mo P
1 2 1 1
direct
0.500 0.500 0.500
0.000 0.000 0.500
0.500 0.000 0.000
0.000 0.000 0.000
0.000 0.500 0.000
```

Properties
Density: 6.4 Mg/m³
Formation energy (no corrections): 1.40 eV per atom
Density of states at the Fermi level: 1.35 states/eV per atom
Offset from the most stable computed form: 0 meV/atom
Total moment: 2.8 μB/f.u.

---

Here is a geometry-optimized ErTm3Sb2 structure from Alexandria via LeMat-Bulk. Energies are from PBE.

Cell and atoms, written as POSCAR:
```
ErTm3Sb2
1.0
4.433 0.000 0.000
0.000 4.433 0.000
0.000 0.000 8.318
Tm Er Sb
3 1 2
direct
0.500 0.000 0.347
0.000 0.000 0.000
0.000 0.500 0.653
0.500 0.500 0.000
0.000 0.500 0.283
0.500 0.000 0.717
```

Properties
Density: 9.3 Mg/m³
Formation energy (no corrections): -0.75 eV per atom
Density of states at the Fermi level: 0.76 states/eV per atom
Offset from the most stable computed form: 0 meV/atom
Total moment: 0.0 μB/f.u.